# 1
First-principles (PBE) data for a relaxed YSiRu2 crystal, as listed in Alexandria via LeMat-Bulk.

The value obtained for the calculated volume is 131 Å³/cell. The calculation puts the final energy at -62.942 eV/cell.

The space group is Imm2 (No. 44) and the conventional cell measures 3.185, 4.340 and 9.474 Å, with angles of 90.00, 90.00 and 90.00 degrees. The asymmetric unit holds Y at (0.000, 0.000, 0.000), Si at (0.000, 0.500, 0.228), Ru at (0.000, 0.000, 0.524) and Ru at (0.000, 0.500, 0.766).


# 2
First-principles (PBE) data for a relaxed Dy6Ho12Er crystal, as listed in Alexandria via LeMat-Bulk.

The value obtained for the calculated volume is 1946 Å³/cell. As for the energy above the most stable polymorph in this dataset: 0.299 eV per atom. Its formation energy is 0.458 eV per atom. The calculation puts the final energy at -235.245 eV/cell.

The space group is R-3m (No. 166, hexagonal axes) and the conventional cell measures 14.8559, 14.8559 and 10.1793 Å, with angles of 90.00, 90.00 and 120.00 degrees. The asymmetric unit holds Dy at (0.0724, 0.5362, 0.2183), Ho at (0.0000, 0.3879, 0.5000), Ho at (0.0777, 0.1554, 0.2524) and Er at (0.0000, 0.0000, 0.0000).


# 3
First-principles (PBE) data for a relaxed Sr2UZnO6 crystal, as listed in Alexandria via LeMat-Bulk.

The value obtained for the calculated volume is 286 Å³/cell. The calculation puts the final energy at -146.768 eV/cell.

The space group is C2/m (No. 12) and the conventional cell measures 10.144, 5.830 and 5.893 Å, with angles of 90.00, 124.71 and 90.00 degrees. The asymmetric unit holds Sr at (0.247, 0.000, 0.232), U at (0.000, 0.000, 0.500), Zn at (0.000, 0.500, 0.000), O at (0.047, 0.249, 0.795) and O at (0.242, 0.000, 0.655).


# 4
First-principles (PBE) data for a relaxed Tm6BiSe3S2 crystal, as listed in Alexandria via LeMat-Bulk.

The value obtained for the calculated volume is 559 Å³/cell. The calculation puts the final energy at -136.302 eV/cell.

The space group is C2/m (No. 12) and the conventional cell measures 17.613, 4.031 and 8.111 Å, with angles of 90.00, 103.69 and 90.00 degrees. The asymmetric unit holds Tm at (0.012, 0.000, 0.275), Tm at (0.172, 0.500, 0.572), Tm at (0.176, 0.500, 0.116), Bi at (0.000, 0.500, 0.000), Se at (0.000, 0.500, 0.500), Se at (0.161, 0.000, 0.836) and S at (0.171, 0.000, 0.342).


# 5
First-principles (PBE) data for a relaxed CdRh2AuC crystal, as listed in Alexandria via LeMat-Bulk.

The value obtained for the calculated volume is 127 Å³/cell. Its formation energy is 2.485 eV per atom. The calculation puts the final energy at -15.693 eV/cell.

The space group is P4/mmm (No. 123) and the conventional cell measures 4.976, 4.976 and 5.113 Å, with angles of 90.00, 90.00 and 90.00 degrees. The asymmetric unit holds Cd at (0.000, 0.000, 0.000), Rh at (0.000, 0.500, 0.500), Au at (0.000, 0.000, 0.500) and C at (0.500, 0.500, 0.000).


# 6
First-principles (PBE) data for a relaxed KZrW crystal, as listed in Alexandria via LeMat-Bulk.

The value obtained for the calculated volume is 328 Å³/cell. As for the energy above the most stable polymorph in this dataset: 1.229 eV per atom. Its formation energy is 2.094 eV per atom. The calculation puts the final energy at -65.262 eV/cell.

The space group is F-43m (No. 216) and the conventional cell measures 6.900, 6.900 and 6.900 Å, with angles of 90.00, 90.00 and 90.00 degrees. The asymmetric unit holds K at (0.000, 0.000, 0.000), Zr at (0.000, 0.000, 0.500) and W at (0.250, 0.250, 0.750).


Which formula does entry 4 have?
Tm6BiSe3S2


final energy of number 3 (Sr2UZnO6)?
-146.768 eV/cell


final energy of number 3 (Sr2UZnO6)?
-146.768 eV/cell


Look up the calculated volume of the second one.
1946 Å³/cell